Material: La6Bi2Te3I
Method: DFT, GGA-PBE
State: optimized geometry

Computed properties:
- D(E_F) (states/eV per atom) = 0.590
- formation energy without anion corrections (meV per atom) = -1328
- total magnetization (μB/atom) = 0.000

a = 10.363 Å, b = 10.363 Å, c = 9.258 Å
α = 103.09°, β = 103.09°, γ = 25.84°
Sites, in units of the cell vectors:
La: 0.001 0.001 0.234
La: 0.327 0.327 0.416
La: 0.333 0.333 0.915
La: 0.667 0.667 0.085
La: 0.673 0.673 0.584
La: 0.999 0.999 0.766
Bi: 0.165 0.165 0.830
Bi: 0.835 0.835 0.170
Te: 0.165 0.165 0.333
Te: 0.500 0.500 0.000
Te: 0.835 0.835 0.667
I: 0.500 0.500 0.500

---

Material: Li2SiSe
Method: DFT, GGA-PBE
State: optimized geometry

Computed properties:
- relative energy among the computed polymorphs (kJ/mol of atoms) = 25.22
- D(E_F) (states/eV per atom) = 0.437
- formation energy without anion corrections (meV per atom) = -214
- total magnetization (μB/atom) = 0.000

a = 6.434 Å, b = 6.434 Å, c = 6.434 Å
α = 90.00°, β = 90.00°, γ = 90.00°
Sites, in units of the cell vectors:
Li: 0.250 0.250 0.250
Li: 0.250 0.250 0.750
Li: 0.250 0.750 0.250
Li: 0.250 0.750 0.750
Li: 0.750 0.250 0.250
Li: 0.750 0.250 0.750
Li: 0.750 0.750 0.250
Li: 0.750 0.750 0.750
Si: 0.000 0.000 0.000
Si: 0.000 0.500 0.500
Si: 0.500 0.000 0.500
Si: 0.500 0.500 0.000
Se: 0.000 0.000 0.500
Se: 0.000 0.500 0.000
Se: 0.500 0.000 0.000
Se: 0.500 0.500 0.500

---

Material: KRu2W
Method: DFT, GGA-PBE
State: optimized geometry

Computed properties:
- relative energy among the computed polymorphs (kJ/mol of atoms) = 32.99
- D(E_F) (states/eV per atom) = 1.455
- total magnetization (μB/atom) = 0.224
- energy of formation (eV per atom) = 0.938

a = 2.925 Å, b = 4.641 Å, c = 10.496 Å
α = 90.00°, β = 90.00°, γ = 90.00°
Sites, in units of the cell vectors:
K: 0.000 0.000 0.000
K: 0.500 0.500 0.000
Ru: 0.000 0.000 0.514
Ru: 0.000 0.500 0.726
Ru: 0.500 0.000 0.726
Ru: 0.500 0.500 0.514
W: 0.000 0.500 0.304
W: 0.500 0.000 0.304

---

Material: CePmPu2
Method: DFT, GGA-PBE
State: optimized geometry

Computed properties:
- relative energy among the computed polymorphs (kJ/mol of atoms) = 3.59
- D(E_F) (states/eV per atom) = 3.292
- total magnetization (μB/atom) = 3.107
- energy of formation (eV per atom) = 0.204

a = 4.886 Å, b = 4.886 Å, c = 4.791 Å
α = 90.00°, β = 90.00°, γ = 90.00°
Sites, in units of the cell vectors:
Ce: 0.000 0.000 0.000
Pm: 0.500 0.500 0.000
Pu: 0.000 0.500 0.500
Pu: 0.500 0.000 0.500

---

Number 1: ρ 6939 kg/m3. Number 2: ρ 3015 kg/m3. Number 3: ρ 9907 kg/m3. Number 4: ρ 11224 kg/m3.